No. 1
This record from the Alexandria database describes crystalline ReTe2O at its relaxed geometry. The functional is GGA-PBE.

a b c (Å): 9.268 9.268 9.268
angles (deg): 18.93 18.93 18.93
Sites, in units of the cell vectors:
1 Re 0.000 0.000 0.000
2 Te 0.901 0.901 0.901
3 Te 0.099 0.099 0.099
4 O 0.500 0.500 0.500

Calculated values
Its total energy is -20.41 eV per cell. The calculated volume comes out at 73.2 Å³/f.u. As for the uncorrected formation energy: 0.820 eV per atom.


No. 2
This record from the Alexandria database describes crystalline Re3TeO at its relaxed geometry. The functional is GGA-PBE.

a b c (Å): 4.874 4.874 4.874
angles (deg): 90.00 90.00 90.00
Sites, in units of the cell vectors:
1 Re 0.000 0.500 0.000
2 Re 0.000 0.000 0.500
3 Re 0.500 0.000 0.000
4 Te 0.000 0.000 0.000
5 O 0.500 0.500 0.500

Calculated values
Its total energy is -29.14 eV per cell. The calculated volume comes out at 115.8 Å³/f.u. As for the uncorrected formation energy: 3.261 eV per atom.


No. 3
This record from the Alexandria database describes crystalline Re3TeO at its relaxed geometry. The functional is GGA-PBE.

a b c (Å): 4.214 4.214 4.214
angles (deg): 90.00 90.00 90.00
Sites, in units of the cell vectors:
1 Re 0.000 0.500 0.000
2 Re 0.000 0.000 0.500
3 Re 0.500 0.000 0.000
4 Te 0.500 0.500 0.500
5 O 0.000 0.000 0.000

Calculated values
Its total energy is -40.66 eV per cell. The calculated volume comes out at 74.8 Å³/f.u. As for the uncorrected formation energy: 0.956 eV per atom.


No. 4
This record from the Alexandria database describes crystalline ReTe2O at its relaxed geometry. The functional is GGA-PBE.

a b c (Å): 5.753 5.753 7.007
angles (deg): 65.77 65.77 90.00
Sites, in units of the cell vectors:
1 Re 0.000 0.000 0.000
2 Re 0.750 0.250 0.500
3 Te 0.603 0.125 0.250
4 Te 0.147 0.625 0.250
5 Te 0.375 0.397 0.750
6 Te 0.875 0.853 0.750
7 O 0.500 0.500 0.000
8 O 0.250 0.750 0.500

Calculated values
Its total energy is -43.82 eV per cell. The calculated volume comes out at 94.4 Å³/f.u. As for the uncorrected formation energy: 0.445 eV per atom.


No. 5
This record from the Alexandria database describes crystalline ReTeO at its relaxed geometry. The functional is GGA-PBE.

a b c (Å): 5.265 8.707 9.465
angles (deg): 65.89 73.85 72.40
Sites, in units of the cell vectors:
1 Re 0.064 0.655 0.311
2 Re 0.283 0.174 0.197
3 Re 0.346 0.674 0.697
4 Re 0.583 0.400 0.339
5 Re 0.679 0.900 0.839
6 Re 0.969 0.155 0.811
7 Te 0.762 0.946 0.090
8 Te 0.430 0.637 0.071
9 Te 0.231 0.858 0.395
10 Te 0.202 0.446 0.590
11 Te 0.862 0.137 0.571
12 Te 0.516 0.358 0.895
13 O 0.796 0.538 0.344
14 O 0.940 0.303 0.199
15 O 0.559 0.803 0.699
16 O 0.449 0.240 0.304
17 O 0.008 0.740 0.804
18 O 0.323 0.038 0.844

Calculated values
Its total energy is -128.93 eV per cell. The calculated volume comes out at 61.9 Å³/f.u. As for the uncorrected formation energy: -0.313 eV per atom.


No. 6
This record from the Alexandria database describes crystalline ReTeO3 at its relaxed geometry. The functional is GGA-PBE.

a b c (Å): 4.171 4.171 4.171
angles (deg): 90.00 90.00 90.00
Sites, in units of the cell vectors:
1 Re 0.500 0.500 0.500
2 Te 0.000 0.000 0.000
3 O 0.000 0.500 0.000
4 O 0.000 0.000 0.500
5 O 0.500 0.000 0.000

Calculated values
Its total energy is -27.99 eV per cell. The calculated volume comes out at 72.6 Å³/f.u. As for the uncorrected formation energy: 0.495 eV per atom.


No. 7
This record from the Alexandria database describes crystalline Re2TeO at its relaxed geometry. The functional is GGA-PBE.

a b c (Å): 4.469 4.469 7.678
angles (deg): 73.08 73.08 90.00
Sites, in units of the cell vectors:
1 Re 0.506 0.125 0.250
2 Re 0.244 0.625 0.250
3 Re 0.375 0.494 0.750
4 Re 0.875 0.756 0.750
5 Te 0.000 0.000 0.000
6 Te 0.750 0.250 0.500
7 O 0.500 0.500 0.000
8 O 0.250 0.750 0.500

Calculated values
Its total energy is -63.78 eV per cell. The calculated volume comes out at 69.9 Å³/f.u. As for the uncorrected formation energy: 0.276 eV per atom.


No. 8
This record from the Alexandria database describes crystalline ReTe2O at its relaxed geometry. The functional is GGA-PBE.

a b c (Å): 6.994 6.994 6.994
angles (deg): 34.00 34.00 34.00
Sites, in units of the cell vectors:
1 Re 0.500 0.500 0.500
2 Te 0.898 0.898 0.898
3 Te 0.102 0.102 0.102
4 O 0.000 0.000 0.000

Calculated values
Its total energy is -23.25 eV per cell. The calculated volume comes out at 95.4 Å³/f.u. As for the uncorrected formation energy: 0.109 eV per atom.


No. 9
This record from the Alexandria database describes crystalline ReTeO3 at its relaxed geometry. The functional is GGA-PBE.

a b c (Å): 3.941 5.557 9.545
angles (deg): 78.49 78.08 69.23
Sites, in units of the cell vectors:
1 Re 0.117 0.701 0.066
2 Re 0.883 0.299 0.934
3 Te 0.348 0.871 0.433
4 Te 0.652 0.129 0.567
5 O 0.935 0.384 0.746
6 O 0.065 0.616 0.254
7 O 0.671 0.624 0.033
8 O 0.329 0.376 0.967
9 O 0.912 0.064 0.112
10 O 0.088 0.936 0.888

Calculated values
Its total energy is -70.95 eV per cell. The calculated volume comes out at 94.7 Å³/f.u. As for the uncorrected formation energy: -1.002 eV per atom.


No. 10
This record from the Alexandria database describes crystalline ReTe2O8 at its relaxed geometry. The functional is GGA-PBE.

a b c (Å): 5.571 6.697 6.697
angles (deg): 44.86 93.51 93.51
Sites, in units of the cell vectors:
1 Re 0.000 0.000 0.000
2 Te 0.472 0.145 0.145
3 Te 0.528 0.855 0.855
4 O 0.770 0.182 0.690
5 O 0.230 0.310 0.818
6 O 0.838 0.131 0.131
7 O 0.162 0.869 0.869
8 O 0.770 0.690 0.182
9 O 0.230 0.818 0.310
10 O 0.419 0.292 0.292
11 O 0.581 0.708 0.708

Calculated values
Its total energy is -67.76 eV per cell. The calculated volume comes out at 175.9 Å³/f.u. As for the uncorrected formation energy: -0.851 eV per atom.


No. 11
This record from the Alexandria database describes crystalline ReTeO5 at its relaxed geometry. The functional is GGA-PBE.

a b c (Å): 5.434 5.434 7.492
angles (deg): 71.65 71.65 75.26
Sites, in units of the cell vectors:
1 Re 0.000 0.000 0.000
2 Re 0.000 0.000 0.500
3 Te 0.484 0.516 0.750
4 Te 0.516 0.484 0.250
5 O 0.204 0.259 0.898
6 O 0.279 0.680 0.556
7 O 0.259 0.204 0.398
8 O 0.950 0.050 0.750
9 O 0.320 0.721 0.944
10 O 0.680 0.279 0.056
11 O 0.050 0.950 0.250
12 O 0.741 0.796 0.602
13 O 0.721 0.320 0.444
14 O 0.796 0.741 0.102

Calculated values
Its total energy is -98.26 eV per cell. The calculated volume comes out at 98.2 Å³/f.u. As for the uncorrected formation energy: -1.250 eV per atom.


No. 12
This record from the Alexandria database describes crystalline Re2TeO at its relaxed geometry. The functional is GGA-PBE.

a b c (Å): 4.369 4.369 4.369
angles (deg): 60.00 60.00 60.00
Sites, in units of the cell vectors:
1 Re 0.250 0.250 0.250
2 Re 0.750 0.750 0.750
3 Te 0.500 0.500 0.500
4 O 0.000 0.000 0.000

Calculated values
Its total energy is -29.49 eV per cell. The calculated volume comes out at 59.0 Å³/f.u. As for the uncorrected formation energy: 0.878 eV per atom.